Entry 1:
This record from Alexandria via LeMat-Bulk describes SrLi4NiO4 after structural relaxation. The functional is GGA-PBEsol.

Computed properties:
- N(E_F): 25.47 states/eV/cell
- Crystal system: orthorhombic
- Raw total energy: -5.39 eV per atom

a b c (Å): 5.1106 9.4656 17.4977
angles (deg): 90.00 90.00 90.00
With the nearest neighbours (Å) after each atom.
Fractional coordinates of all 80 atoms:
Li  0.1145  0.0470  0.7852  4 O 1.98-2.15
O  0.1204  0.9864  0.3612  1 Ni 1.95, 4 Li 1.95-2.03
Li  0.2640  0.8137  0.8104  3 O 1.91-1.95
O  0.8796  0.0136  0.6388  1 Ni 1.95, 4 Li 1.95-2.03
Li  0.2109  0.1505  0.9080  3 O 1.89-2.00
Li  0.5337  0.6674  0.6821  4 O 1.92-2.04
Li  0.7640  0.6863  0.8104  3 O 1.91-1.95
Li  0.3855  0.0470  0.2852  4 O 1.98-2.15
O  0.5900  0.8658  0.2846  1 Ni 1.91, 5 Li 1.91-2.11
Sr  0.7400  0.1213  0.0172  5 O 2.41-2.56
Li  0.4663  0.3326  0.3179  4 O 1.92-2.04
O  0.4100  0.6342  0.7846  1 Ni 1.91, 5 Li 1.91-2.11
O  0.7590  0.3758  0.5213  1 Ni 1.98, 1 Li 2.00
Li  0.2109  0.6505  0.5920  3 O 1.89-2.00
Li  0.7109  0.3495  0.9080  3 O 1.89-2.00
O  0.9100  0.3658  0.7154  1 Ni 1.91, 5 Li 1.91-2.11
O  0.2590  0.6242  0.9787  1 Ni 1.98, 1 Li 2.00
O  0.0900  0.6342  0.2846  1 Ni 1.91, 5 Li 1.91-2.11
Li  0.2891  0.1505  0.4080  3 O 1.89-2.00
Li  0.9663  0.1674  0.3179  4 O 1.92-2.04
Li  0.5337  0.1674  0.8179  4 O 1.92-2.04
O  0.6283  0.6571  0.1344  3 Li 1.89-2.04, 1 Ni 2.07
O  0.7410  0.3758  0.0213  1 Ni 1.98, 1 Li 2.00
Sr  0.7600  0.1213  0.5172  5 O 2.41-2.56
O  0.3796  0.9864  0.8612  1 Ni 1.95, 4 Li 1.95-2.03
Li  0.4663  0.8326  0.1821  4 O 1.92-2.04
Li  0.7891  0.8495  0.0920  3 O 1.89-2.00
Li  0.2360  0.8137  0.3104  3 O 1.91-1.95
Li  0.8855  0.9530  0.2148  4 O 1.98-2.15
Li  0.7360  0.1863  0.1896  3 O 1.91-1.95
O  0.1204  0.4864  0.1388  1 Ni 1.95, 4 Li 1.95-2.03
O  0.7590  0.8758  0.9787  1 Ni 1.98, 1 Li 2.00
O  0.6283  0.1571  0.3656  3 Li 1.89-2.04, 1 Ni 2.07
Li  0.8855  0.4530  0.2852  4 O 1.98-2.15
O  0.8717  0.1571  0.8656  3 Li 1.89-2.04, 1 Ni 2.07
O  0.3717  0.3429  0.8656  3 Li 1.89-2.04, 1 Ni 2.07
O  0.2410  0.6242  0.4787  1 Ni 1.98, 1 Li 2.00
Li  0.7640  0.1863  0.6896  3 O 1.91-1.95
Ni  0.7472  0.9484  0.3726  4 O 1.91-2.07
Li  0.3855  0.5470  0.2148  4 O 1.98-2.15
Ni  0.2528  0.0516  0.6274  4 O 1.91-2.07
Ni  0.2528  0.5516  0.8726  4 O 1.91-2.07
O  0.8717  0.6571  0.6344  3 Li 1.89-2.04, 1 Ni 2.07
O  0.5900  0.3658  0.2154  1 Ni 1.91, 5 Li 1.91-2.11
O  0.0900  0.1342  0.2154  1 Ni 1.91, 5 Li 1.91-2.11
O  0.1283  0.3429  0.3656  3 Li 1.89-2.04, 1 Ni 2.07
Li  0.6145  0.9530  0.7148  4 O 1.98-2.15
Li  0.0337  0.8326  0.6821  4 O 1.92-2.04
O  0.6204  0.5136  0.3612  1 Ni 1.95, 4 Li 1.95-2.03
Ni  0.7472  0.4484  0.1274  4 O 1.91-2.07
O  0.1283  0.8429  0.1344  3 Li 1.89-2.04, 1 Ni 2.07
Li  0.6145  0.4530  0.7852  4 O 1.98-2.15
Sr  0.7400  0.6213  0.4828  5 O 2.41-2.56
O  0.6204  0.0136  0.1388  1 Ni 1.95, 4 Li 1.95-2.03
Ni  0.2472  0.0516  0.1274  4 O 1.91-2.07
O  0.4100  0.1342  0.7154  1 Ni 1.91, 5 Li 1.91-2.11
Li  0.9663  0.6674  0.1821  4 O 1.92-2.04
Ni  0.7528  0.4484  0.6274  4 O 1.91-2.07
O  0.3717  0.8429  0.6344  3 Li 1.89-2.04, 1 Ni 2.07
Li  0.7109  0.8495  0.5920  3 O 1.89-2.00
O  0.2410  0.1242  0.0213  1 Ni 1.98, 1 Li 2.00
Sr  0.2600  0.8787  0.9828  5 O 2.41-2.56
Ni  0.7528  0.9484  0.8726  4 O 1.91-2.07
Li  0.1145  0.5470  0.7148  4 O 1.98-2.15
Sr  0.2600  0.3787  0.5172  5 O 2.41-2.56
O  0.3796  0.4864  0.6388  1 Ni 1.95, 4 Li 1.95-2.03
O  0.9100  0.8658  0.7846  1 Ni 1.91, 5 Li 1.91-2.11
Sr  0.2400  0.8787  0.4828  5 O 2.41-2.56
O  0.8796  0.5136  0.8612  1 Ni 1.95, 4 Li 1.95-2.03
Li  0.2891  0.6505  0.0920  3 O 1.89-2.00
Li  0.2640  0.3137  0.6896  3 O 1.91-1.95
Sr  0.2400  0.3787  0.0172  5 O 2.41-2.56
Li  0.0337  0.3326  0.8179  4 O 1.92-2.04
O  0.7410  0.8758  0.4787  1 Ni 1.98, 1 Li 2.00
Sr  0.7600  0.6213  0.9828  5 O 2.41-2.56
Li  0.7360  0.6863  0.3104  3 O 1.91-1.95
Ni  0.2472  0.5516  0.3726  4 O 1.91-2.07
Li  0.7891  0.3495  0.4080  3 O 1.89-2.00
Li  0.2360  0.3137  0.1896  3 O 1.91-1.95
O  0.2590  0.1242  0.5213  1 Ni 1.98, 1 Li 2.00


Entry 2:
This record from Alexandria via LeMat-Bulk describes Li4Ni3TeO8 after structural relaxation. The functional is GGA-PBEsol.

Computed properties:
- N(E_F): 0.24 states/eV/cell
- Crystal system: trigonal
- Raw total energy: -5.78 eV per atom

a b c (Å): 5.8692 5.8692 5.8692
angles (deg): 60.95 60.95 60.95
With the nearest neighbours (Å) after each atom.
Fractional coordinates of all 16 atoms:
O  0.7630  0.2347  0.2347  1 Te 1.96, 2 Ni 2.09, 2 Li 2.10
O  0.2585  0.2585  0.2585  3 Ni 2.02, 3 Li 2.16
Te  0.0000  0.0000  0.0000  6 O 1.96
O  0.2347  0.7630  0.2347  1 Te 1.96, 2 Ni 2.09, 2 Li 2.10
Li  0.5000  0.0000  0.0000  6 O 2.10-2.16
Ni  0.5000  0.0000  0.5000  6 O 2.02-2.09
Ni  0.5000  0.5000  0.0000  6 O 2.02-2.09
O  0.7415  0.7415  0.7415  3 Ni 2.02, 3 Li 2.16
O  0.2347  0.2347  0.7630  1 Te 1.96, 2 Ni 2.09, 2 Li 2.10
Li  0.0000  0.5000  0.0000  6 O 2.10-2.16
O  0.7653  0.7653  0.2370  1 Te 1.96, 2 Ni 2.09, 2 Li 2.10
Li  0.0000  0.0000  0.5000  6 O 2.10-2.16
Li  0.5000  0.5000  0.5000  6 O 2.22
O  0.7653  0.2370  0.7653  1 Te 1.96, 2 Ni 2.09, 2 Li 2.10
O  0.2370  0.7653  0.7653  1 Te 1.96, 2 Ni 2.09, 2 Li 2.10
Ni  0.0000  0.5000  0.5000  6 O 2.02-2.09


Entry 3:
This record from Alexandria via LeMat-Bulk describes Li4Ti3Ni3Te2O16 after structural relaxation. The functional is GGA-PBEsol.

Computed properties:
- N(E_F): 1.48 states/eV/cell
- Crystal system: monoclinic
- Raw total energy: -6.93 eV per atom

a b c (Å): 5.8264 5.8264 9.9458
angles (deg): 90.62 90.62 60.78
With the nearest neighbours (Å) after each atom.
Fractional coordinates of all 28 atoms:
O  0.1659  0.1659  0.9119  1 Te 1.99, 1 Li 2.03, 2 Ti 2.13
O  0.4808  0.4808  0.1502  1 Li 1.94, 1 Te 1.97, 2 Ni 2.04
O  0.5111  0.5111  0.6821  2 Ti 1.91, 1 Li 1.96
Ti  0.1768  0.1768  0.2777  6 O 1.89-2.03
Ti  0.3516  0.8325  0.7827  4 O 1.82-1.95
O  0.1653  0.6646  0.9126  1 Te 1.95, 1 Li 1.96, 1 Ni 2.08
O  0.6542  0.6542  0.9006  1 Li 1.93, 2 Ti 1.94, 1 Ni 2.00
Te  0.3373  0.3373  0.0135  6 O 1.95-2.00
Li  0.6651  0.6651  0.0944  4 O 1.93-1.95
Li  0.0033  0.0033  0.5067  4 O 1.94-2.08
O  0.0371  0.4737  0.1428  1 Li 1.95, 1 Te 2.00, 1 Ti 2.03, 1 Ni 2.07
O  0.9848  0.4914  0.6770  1 Ti 1.82, 1 Li 1.95
Ni  0.6550  0.1698  0.2782  6 O 1.96-2.08
O  0.3371  0.8440  0.3877  1 Te 1.99, 1 Ti 2.02, 1 Li 2.08, 1 Ni 2.08
Li  0.3344  0.3344  0.5967  4 O 1.95-2.02
O  0.0044  0.0044  0.1961  1 Li 1.79, 1 Ti 1.91, 2 Ni 1.96
O  0.4914  0.9848  0.6770  1 Ti 1.82, 1 Li 1.95
O  0.8440  0.3371  0.3877  1 Te 1.99, 1 Ti 2.02, 1 Li 2.08, 1 Ni 2.08
Te  0.6740  0.6740  0.4909  3 O 1.93-1.99
Ni  0.1698  0.6550  0.2782  6 O 1.96-2.08
Ni  0.8236  0.8236  0.7964  6 O 2.00-2.08
Ti  0.8325  0.3516  0.7827  4 O 1.82-1.95
O  0.3268  0.3268  0.3939  1 Ti 1.89, 1 Li 2.02, 2 Ni 2.03
O  0.4737  0.0371  0.1428  1 Li 1.95, 1 Te 2.00, 1 Ti 2.03, 1 Ni 2.07
O  0.9994  0.9994  0.7042  2 Ti 1.95, 1 Li 1.97, 1 Ni 2.00
O  0.8420  0.8420  0.3985  1 Te 1.93, 1 Li 1.94, 2 Ni 2.06
O  0.6646  0.1653  0.9126  1 Te 1.95, 1 Li 1.96, 1 Ni 2.08
Li  0.9933  0.9933  0.0164  3 O 1.79-1.96


Entry 4:
This record from Alexandria via LeMat-Bulk describes Li4V3Ni3Te2O16 after structural relaxation. The functional is GGA-PBEsol.

Computed properties:
- N(E_F): 3.55 states/eV/cell
- Crystal system: monoclinic
- Raw total energy: -6.90 eV per atom

a b c (Å): 5.6984 5.8464 10.1193
angles (deg): 90.41 90.00 119.16
With the nearest neighbours (Å) after each atom.
Fractional coordinates of all 28 atoms:
Li  0.0068  0.0136  0.0148  4 O 1.88-1.95
V  0.8381  0.1960  0.7795  4 O 1.74-1.93
O  0.4739  0.4884  0.1682  1 V 1.77, 1 Li 1.91
O  0.9871  0.4758  0.6834  1 V 1.74
O  0.8351  0.1611  0.3953  1 Te 1.93, 1 Li 1.98, 1 Ni 2.06
O  0.1738  0.8593  0.9035  1 Li 1.95, 1 Te 1.97, 1 Ni 2.03, 1 V 2.14
Li  0.3379  0.6760  0.5952  4 O 1.96-2.05
V  0.1817  0.3632  0.2678  4 O 1.77-1.85
Ni  0.1680  0.8223  0.2826  6 O 1.98-2.06
O  0.5139  0.0280  0.6749  2 V 1.93, 1 Li 1.96
V  0.3577  0.1960  0.7795  4 O 1.74-1.93
O  0.0146  0.4884  0.1683  1 V 1.77, 1 Li 1.91
O  0.0029  0.0059  0.6953  1 Li 1.92, 2 V 1.96, 1 Ni 2.03
Te  0.6686  0.3373  0.4860  3 O 1.93-1.95
Ni  0.6545  0.8224  0.2826  6 O 1.98-2.06
Ni  0.8311  0.6622  0.7949  6 O 2.03-2.07
O  0.0127  0.0253  0.2007  1 V 1.85, 1 Li 1.88, 2 Ni 1.98
Li  0.9988  0.9975  0.5051  4 O 1.92-1.98
O  0.6855  0.8594  0.9035  1 Li 1.95, 1 Te 1.97, 1 Ni 2.03, 1 V 2.14
Li  0.6584  0.3166  0.0966  4 O 1.90-2.00
O  0.4885  0.4759  0.6835  1 V 1.74
O  0.4801  0.9602  0.1504  1 Li 1.90, 1 Te 1.99, 2 Ni 2.05
O  0.3262  0.1611  0.3952  1 Te 1.93, 1 Li 1.98, 1 Ni 2.06
Te  0.3486  0.6972  0.0042  3 O 1.97-1.99
O  0.8380  0.6758  0.3981  1 Te 1.95, 1 Li 1.96, 2 Ni 2.02
O  0.3123  0.6242  0.3943  1 V 1.84, 1 Li 2.05, 2 Ni 2.06
O  0.6575  0.3151  0.8991  2 V 1.92, 1 Li 2.00, 1 Ni 2.07
O  0.1479  0.2958  0.8895  2 V 1.92, 1 Li 1.93